The following is a SCAN calculation of BaAl2Ni at its PBEsol-relaxed geometry, from the Alexandria database.

Calculated values
* magnetic moment: 0.00 μB/f.u.
* formation enthalpy at 0 K: -0.161 eV per atom
* uncorrected energy: -71.87 eV per cell
* SG: P4/mmm (123)

POSCAR file:
```
BaAl2Ni
1.0
-1.037 -2.195 1.922
1.915 -2.051 -1.309
5.773 1.968 5.361
Ni Ba Al
1 1 2
Cartesian
3.326 -1.139 2.987
0.439 -2.123 0.306
3.831 1.306 3.558
1.942 0.662 1.804
```

---

The following is a SCAN calculation of BaAlNi2 at its PBEsol-relaxed geometry, from the Alexandria database.

Calculated values
* magnetic moment: 0.00 μB/f.u.
* formation enthalpy at 0 K: 0.450 eV per atom
* uncorrected energy: -77.85 eV per cell
* SG: C2/m (12)

POSCAR file:
```
BaAlNi2
1.0
-0.997 -1.852 2.250
-1.590 -3.145 -3.278
4.265 -2.230 0.069
Ni Ba Al
2 1 1
Cartesian
-0.795 -1.573 -1.639
2.133 -1.115 0.034
0.839 -3.614 -0.480
-0.498 -0.926 1.125
```

---

The following is a SCAN calculation of BaAlNi2 at its PBEsol-relaxed geometry, from the Alexandria database.

Calculated values
* magnetic moment: 0.00 μB/f.u.
* formation enthalpy at 0 K: -0.219 eV per atom
* uncorrected energy: -80.52 eV per cell
* SG: Cm (8)

POSCAR file:
```
BaAlNi2
1.0
-1.074 -1.295 -3.818
-1.518 -1.984 3.379
-3.871 4.168 -0.326
Ni Ba Al
2 1 1
Cartesian
-5.163 0.526 -1.006
-3.685 1.856 0.407
-2.947 -1.323 -1.002
-3.602 2.155 -1.998
```